(1)
! CoI2 PBE relaxed; values from VASP
! uncorrected energy = -1.76 eV/atom
! V = 36.5 A^3/atom
! M_tot = 0.712 μB per atom
&SYSTEM
  ibrav = 0, nat = 6, ntyp = 2
/
ATOMIC_SPECIES
Co 58.93 Co.upf
I 126.90 I.upf
ATOMIC_POSITIONS crystal
Co 0.000 0.000 0.000
Co 0.250 0.250 0.250
I 0.625 0.625 0.125
I 0.625 0.125 0.625
I 0.125 0.625 0.625
I 0.625 0.625 0.625
CELL_PARAMETERS angstrom
0.960 -5.859 -3.248
-5.129 -2.906 -3.323
0.007 -0.156 -6.765

(2)
! Co3I PBE relaxed; values from VASP
! uncorrected energy = -5.06 eV/atom
! V = 16.4 A^3/atom
! M_tot = 1.316 μB per atom
! energy above the lowest structure with this stoichiometry = 0.0 meV per atom
&SYSTEM
  ibrav = 0, nat = 8, ntyp = 2
/
ATOMIC_SPECIES
Co 58.93 Co.upf
I 126.90 I.upf
ATOMIC_POSITIONS crystal
Co 0.130 0.259 0.250
Co 0.130 0.870 0.250
Co 0.741 0.870 0.250
Co 0.259 0.130 0.750
Co 0.870 0.130 0.750
Co 0.870 0.741 0.750
I 0.667 0.333 0.250
I 0.333 0.667 0.750
CELL_PARAMETERS angstrom
-0.895 -1.876 -5.894
4.337 -2.778 3.540
-2.641 -2.570 1.219

(3)
! CoI2 PBE relaxed; values from VASP
! uncorrected energy = -3.38 eV/atom
! V = 29.7 A^3/atom
! M_tot = 0.335 μB per atom
&SYSTEM
  ibrav = 0, nat = 12, ntyp = 2
/
ATOMIC_SPECIES
Co 58.93 Co.upf
I 126.90 I.upf
ATOMIC_POSITIONS crystal
Co 0.333 0.667 0.250
Co 0.333 0.667 0.500
Co 0.000 0.000 0.751
Co 0.000 0.000 0.000
I 0.667 0.333 0.052
I 0.000 0.000 0.197
I 0.667 0.333 0.302
I 0.000 0.000 0.447
I 0.667 0.333 0.552
I 0.333 0.667 0.698
I 0.667 0.333 0.803
I 0.333 0.667 0.947
CELL_PARAMETERS angstrom
-3.336 0.950 1.698
2.787 -1.722 2.046
10.397 24.692 6.615

(4)
! CoI2 PBE relaxed; values from VASP
! uncorrected energy = -3.21 eV/atom
! V = 67.2 A^3/atom
! M_tot = 1.001 μB per atom
&SYSTEM
  ibrav = 0, nat = 6, ntyp = 2
/
ATOMIC_SPECIES
Co 58.93 Co.upf
I 126.90 I.upf
ATOMIC_POSITIONS crystal
Co 0.250 0.250 0.250
Co 0.500 0.500 0.500
I 0.875 0.375 0.375
I 0.375 0.875 0.375
I 0.375 0.375 0.375
I 0.375 0.375 0.875
CELL_PARAMETERS angstrom
4.146 2.394 6.771
-4.146 2.394 6.771
0.000 -4.788 6.771

(5)
! Co3I PBE relaxed; values from VASP
! uncorrected energy = -4.98 eV/atom
! V = 13.3 A^3/atom
! M_tot = 0.947 μB per atom
! energy above the lowest structure with this stoichiometry = 75.6 meV per atom
&SYSTEM
  ibrav = 0, nat = 4, ntyp = 2
/
ATOMIC_SPECIES
Co 58.93 Co.upf
I 126.90 I.upf
ATOMIC_POSITIONS crystal
Co 0.500 0.500 0.000
Co 0.500 0.000 0.500
Co 0.000 0.500 0.500
I 0.000 0.000 0.000
CELL_PARAMETERS angstrom
3.762 0.000 0.000
0.000 3.762 0.000
0.000 0.000 3.762

(6)
! CoI2 PBE relaxed; values from VASP
! uncorrected energy = -2.89 eV/atom
! V = 30.5 A^3/atom
! M_tot = 0.958 μB per atom
&SYSTEM
  ibrav = 0, nat = 3, ntyp = 2
/
ATOMIC_SPECIES
Co 58.93 Co.upf
I 126.90 I.upf
ATOMIC_POSITIONS crystal
Co 0.000 0.000 0.000
I 0.618 0.382 0.500
I 0.382 0.618 0.500
CELL_PARAMETERS angstrom
1.780 -7.333 0.000
1.780 7.333 0.000
0.000 0.000 3.509